[1]
The following is a DFT calculation (meta-GGA SCAN) of a PBEsol-optimized structure of AlCu2Rh.

Results
ΔH_f (0 K)	-0.4534	eV per atom
crystal system	monoclinic
raw total energy	-18.434	eV/atom
D(E_F)	0.374	states/eV per atom

a = 2.899 Å, b = 4.044 Å, c = 4.917 Å
α = 114.03°, β = 107.15°, γ = 90.00°
Fractional positions:
Al 0.500 0.000 0.000
Cu 0.242 0.242 0.484
Cu 0.758 0.758 0.516
Rh 0.000 0.500 0.000


[2]
The following is a DFT calculation (meta-GGA SCAN) of a PBEsol-optimized structure of Al2CuRh.

Results
ΔH_f (0 K)	-0.8237	eV per atom
crystal system	tetragonal
raw total energy	-16.942	eV/atom
D(E_F)	0.368	states/eV per atom
polymorph energy (0 for the lowest one)	0	meV/atom

a = 2.954 Å, b = 4.205 Å, c = 4.205 Å
α = 90.00°, β = 90.00°, γ = 90.00°
Fractional positions:
Rh 0.500 0.000 0.000
Al 0.000 0.000 0.500
Al 0.000 0.500 0.000
Cu 0.500 0.500 0.500


[3]
The following is a DFT calculation (meta-GGA SCAN) of a PBEsol-optimized structure of Al2CuRh.

Results
ΔH_f (0 K)	-0.7627	eV per atom
crystal system	monoclinic
raw total energy	-16.881	eV/atom
D(E_F)	0.427	states/eV per atom
polymorph energy (0 for the lowest one)	61	meV/atom

a = 2.925 Å, b = 4.225 Å, c = 4.725 Å
α = 106.53°, β = 108.03°, γ = 90.00°
Fractional positions:
Rh 0.746 0.196 0.493
Al 0.007 0.057 0.014
Al 0.244 0.696 0.489
Cu 0.502 0.551 0.004


[4]
The following is a DFT calculation (meta-GGA SCAN) of a PBEsol-optimized structure of Al2CuRu.

Results
ΔH_f (0 K)	-0.6153	eV per atom
crystal system	orthorhombic
raw total energy	-16.998	eV/atom
D(E_F)	0.150	states/eV per atom

a = 3.134 Å, b = 3.935 Å, c = 4.930 Å
α = 113.52°, β = 108.53°, γ = 90.00°
Fractional positions:
Ru 0.249 0.749 0.497
Al 0.995 0.994 0.989
Al 0.761 0.261 0.522
Cu 0.496 0.496 0.991


[5]
The following is a DFT calculation (meta-GGA SCAN) of a PBEsol-optimized structure of AlCuRu.

Results
ΔH_f (0 K)	-0.1003	eV per atom
crystal system	trigonal
raw total energy	-19.359	eV/atom
D(E_F)	0.689	states/eV per atom

a = 2.724 Å, b = 2.724 Å, c = 6.146 Å
α = 90.00°, β = 90.00°, γ = 120.00°
Fractional positions:
Ru 0.667 0.333 0.327
Al 0.000 0.000 0.000
Cu 0.333 0.667 0.673


[6]
The following is a DFT calculation (meta-GGA SCAN) of a PBEsol-optimized structure of Al2CuRu.

Results
ΔH_f (0 K)	-0.6764	eV per atom
crystal system	orthorhombic
raw total energy	-17.059	eV/atom
D(E_F)	0.352	states/eV per atom

a = 3.015 Å, b = 4.146 Å, c = 4.146 Å
α = 89.92°, β = 90.00°, γ = 90.00°
Fractional positions:
Ru 0.500 0.500 0.500
Al 0.000 0.500 0.000
Al 0.000 0.000 0.500
Cu 0.500 0.000 0.000


[7]
The following is a DFT calculation (meta-GGA SCAN) of a PBEsol-optimized structure of Al3CuRu.

Results
ΔH_f (0 K)	0.2131	eV per atom
crystal system	cubic
raw total energy	-14.443	eV/atom
D(E_F)	0.429	states/eV per atom

a = 4.605 Å, b = 4.605 Å, c = 4.605 Å
α = 90.00°, β = 90.00°, γ = 90.00°
Fractional positions:
Ru 0.000 0.000 0.000
Al 0.000 0.500 0.000
Al 0.000 0.000 0.500
Al 0.500 0.000 0.000
Cu 0.500 0.500 0.500


[8]
The following is a DFT calculation (meta-GGA SCAN) of a PBEsol-optimized structure of Al7Cu2Ru.

Results
ΔH_f (0 K)	-0.4148	eV per atom
crystal system	tetragonal
raw total energy	-12.364	eV/atom
D(E_F)	0.222	states/eV per atom

a = 6.382 Å, b = 6.382 Å, c = 14.769 Å
α = 90.00°, β = 90.00°, γ = 90.00°
Fractional positions:
Al 0.157 0.657 0.250
Al 0.843 0.343 0.750
Al 0.843 0.343 0.250
Al 0.343 0.157 0.250
Al 0.157 0.657 0.750
Al 0.657 0.843 0.750
Al 0.657 0.843 0.250
Al 0.343 0.157 0.750
Al 0.000 0.000 0.130
Al 0.000 0.000 0.870
Al 0.500 0.500 0.370
Al 0.500 0.500 0.630
Al 0.202 0.415 0.097
Al 0.798 0.585 0.903
Al 0.798 0.585 0.097
Al 0.585 0.202 0.097
Al 0.298 0.915 0.403
Al 0.202 0.415 0.903
Al 0.415 0.798 0.903
Al 0.702 0.085 0.597
Al 0.415 0.798 0.097
Al 0.702 0.085 0.403
Al 0.585 0.202 0.903
Al 0.298 0.915 0.597
Al 0.915 0.702 0.403
Al 0.085 0.298 0.597
Al 0.085 0.298 0.403
Al 0.915 0.702 0.597
Cu 0.267 0.088 0.000
Cu 0.733 0.912 0.000
Cu 0.912 0.267 0.000
Cu 0.233 0.588 0.500
Cu 0.088 0.733 0.000
Cu 0.767 0.412 0.500
Cu 0.588 0.767 0.500
Cu 0.412 0.233 0.500
Ru 0.000 0.000 0.299
Ru 0.000 0.000 0.701
Ru 0.500 0.500 0.201
Ru 0.500 0.500 0.799


[9]
The following is a DFT calculation (meta-GGA SCAN) of a PBEsol-optimized structure of AlCuS3.

Results
crystal system	cubic
raw total energy	-9.881	eV/atom
D(E_F)	0.832	states/eV per atom
formation energy without anion corrections	0.4859	eV/atom

a = 4.451 Å, b = 4.451 Å, c = 4.451 Å
α = 90.00°, β = 90.00°, γ = 90.00°
Fractional positions:
S 0.000 0.500 0.000
S 0.000 0.000 0.500
S 0.500 0.000 0.000
Al 0.500 0.500 0.500
Cu 0.000 0.000 0.000


[10]
The following is a DFT calculation (meta-GGA SCAN) of a PBEsol-optimized structure of Al14Cu3S24.

Results
crystal system	monoclinic
raw total energy	-10.472	eV/atom
D(E_F)	0.319	states/eV per atom
formation energy without anion corrections	-1.0766	eV/atom

a = 6.960 Å, b = 6.960 Å, c = 17.165 Å
α = 90.30°, β = 90.30°, γ = 60.46°
Fractional positions:
Al 0.815 0.336 0.834
Al 0.500 0.007 0.501
Al 0.152 0.674 0.169
Al 0.498 0.498 0.993
Al 0.160 0.160 0.659
Al 0.840 0.840 0.334
Al 0.336 0.815 0.834
Al 0.007 0.500 0.501
Al 0.674 0.152 0.169
Al 0.337 0.337 0.835
Al 0.675 0.675 0.170
Al 0.824 0.824 0.705
Al 0.493 0.493 0.376
Al 0.164 0.164 0.041
Cu 0.831 0.831 0.959
Cu 0.505 0.505 0.621
Cu 0.169 0.169 0.296
S 0.656 0.656 0.913
S 0.326 0.326 0.584
S 0.996 0.996 0.247
S 0.655 0.180 0.914
S 0.333 0.850 0.578
S 0.991 0.520 0.250
S 0.495 0.495 0.754
S 0.181 0.181 0.423
S 0.833 0.833 0.090
S 0.180 0.655 0.914
S 0.850 0.333 0.578
S 0.520 0.991 0.250
S 0.470 0.008 0.753
S 0.149 0.686 0.421
S 0.809 0.345 0.086
S 0.163 0.163 0.908
S 0.838 0.838 0.576
S 0.500 0.500 0.241
S 0.008 0.470 0.753
S 0.686 0.149 0.421
S 0.345 0.809 0.086
S 0.005 0.005 0.752
S 0.679 0.679 0.418
S 0.343 0.343 0.086


[11]
The following is a DFT calculation (meta-GGA SCAN) of a PBEsol-optimized structure of AlCuSb2.

Results
crystal system	tetragonal
raw total energy	-24.261	eV/atom
D(E_F)	0.256	states/eV per atom
polymorph energy (0 for the lowest one)	0	meV/atom
formation energy without anion corrections	0.1067	eV/atom

a = 3.443 Å, b = 3.443 Å, c = 7.242 Å
α = 90.00°, β = 90.00°, γ = 90.00°
Fractional positions:
Sb 0.000 0.000 0.914
Sb 0.500 0.500 0.336
Al 0.000 0.000 0.541
Cu 0.500 0.500 0.710


[12]
The following is a DFT calculation (meta-GGA SCAN) of a PBEsol-optimized structure of AlCuSb2.

Results
crystal system	tetragonal
raw total energy	-24.039	eV/atom
D(E_F)	0.432	states/eV per atom
polymorph energy (0 for the lowest one)	223	meV/atom
formation energy without anion corrections	0.3293	eV/atom

a = 4.631 Å, b = 4.970 Å, c = 4.631 Å
α = 62.23°, β = 90.00°, γ = 117.77°
Fractional positions:
Sb 0.250 0.500 0.250
Sb 0.750 0.500 0.750
Al 0.500 0.000 0.500
Cu 0.000 0.000 0.000


Number 12 is which compound?
AlCuSb2


D(E_F) of number 5 (AlCuRu)?
0.689 states/eV per atom


Look up the raw total energy of the tenth one.
-10.472 eV/atom


What did the third record say?
The following is a DFT calculation (meta-GGA SCAN) of a PBEsol-optimized structure of Al2CuRh.

Results
ΔH_f (0 K)	-0.7627	eV per atom
crystal system	monoclinic
raw total energy	-16.881	eV/atom
D(E_F)	0.427	states/eV per atom
polymorph energy (0 for the lowest one)	61	meV/atom

a = 2.925 Å, b = 4.225 Å, c = 4.725 Å
α = 106.53°, β = 108.03°, γ = 90.00°
Fractional positions:
Rh 0.746 0.196 0.493
Al 0.007 0.057 0.014
Al 0.244 0.696 0.489
Cu 0.502 0.551 0.004